<1>
## BaHg3As (GGA-PBE)

Data for BaHg3As after structural relaxation.

a = 5.4578 Å, b = 5.4578 Å, c = 5.4578 Å
α = 90.00°, β = 90.00°, γ = 90.00°
Space group Pm-3m (No. 221)
Unique sites:
Ba (0.0000, 0.0000, 0.0000) [1 per cell]
Hg (0.0000, 0.5000, 0.5000) [3 per cell]
As (0.5000, 0.5000, 0.5000) [1 per cell]

---

<2>
## BaHg3As (GGA-PBE)

Data for BaHg3As after structural relaxation.

a = 6.5330 Å, b = 6.5330 Å, c = 6.5330 Å
α = 90.00°, β = 90.00°, γ = 90.00°
Space group Pm-3m (No. 221)
Unique sites:
Ba (0.0000, 0.0000, 0.0000) [1 per cell]
Hg (0.0000, 0.0000, 0.5000) [3 per cell]
As (0.5000, 0.5000, 0.5000) [1 per cell]

---

<1> is favored, and the nearest alternative lies 0.713 eV/atom above it.

---

<1>
## BaSr2HgAs (GGA-PBE)

Data for BaSr2HgAs after structural relaxation.

a = 5.9663 Å, b = 5.9663 Å, c = 6.4250 Å
α = 90.00°, β = 90.00°, γ = 90.00°
Space group P4/mmm (No. 123)
Unique sites:
Ba (0.0000, 0.0000, 0.0000) [1 per cell]
Sr (0.0000, 0.5000, 0.5000) [2 per cell]
Hg (0.5000, 0.5000, 0.0000) [1 per cell]
As (0.0000, 0.0000, 0.5000) [1 per cell]

---

<2>
## BaSr2HgAs (GGA-PBE)

Data for BaSr2HgAs after structural relaxation.

a = 6.6254 Å, b = 6.6254 Å, c = 5.8243 Å
α = 90.00°, β = 90.00°, γ = 90.00°
Space group P4/mmm (No. 123)
Unique sites:
Ba (0.0000, 0.0000, 0.0000) [1 per cell]
Sr (0.0000, 0.5000, 0.0000) [2 per cell]
Hg (0.0000, 0.0000, 0.5000) [1 per cell]
As (0.5000, 0.5000, 0.5000) [1 per cell]

---

<1> is favored, and the nearest alternative lies 1.366 eV/atom above it.